Record 1
## Ca2TlReO8 (PBE)

Data for crystalline Ca2TlReO8 at its relaxed geometry.

Cell: 5.013 7.256 5.017 Å, 90.00 93.31 90.00°
Space group P2/m (No. 10)
One atom of each set of equivalent atoms:
Ca 0.000 0.248 0.000
Tl 0.500 0.500 0.500
Re 0.500 0.000 0.500
O 0.208 0.500 0.209
O 0.225 0.000 0.227
O 0.320 0.187 0.681

Computed properties:
Raw formation energy = -1589 meV/atom
DFT total energy = -77.5 eV/cell

Record 2
## Si2PtPb (PBE)

Data for crystalline Si2PtPb at its relaxed geometry.

Cell: 3.622 3.663 6.240 Å, 90.00 101.22 90.00°
Space group Pm (No. 6)
One atom of each set of equivalent atoms:
Si 0.000 0.000 0.000
Si 0.456 0.500 0.993
Pt 0.427 0.000 0.716
Pb 0.835 0.500 0.456

Computed properties:
Raw formation energy = 5 meV/atom
DFT total energy = -20.6 eV/cell

Record 3
## K3Sc2PaS6 (PBE)

Data for crystalline K3Sc2PaS6 at its relaxed geometry.

Cell: 6.767 11.722 7.707 Å, 90.00 107.02 90.00°
Space group C2/m (No. 12)
One atom of each set of equivalent atoms:
K 0.000 0.000 0.000
K 0.000 0.333 0.000
Sc 0.000 0.167 0.500
Pa 0.000 0.500 0.500
S 0.225 0.000 0.698
S 0.236 0.330 0.698

Computed properties:
Raw formation energy = -1654 meV/atom
DFT total energy = -140.1 eV/cell

Record 4
## Pa2Al2Fe3 (PBE)

Data for crystalline Pa2Al2Fe3 at its relaxed geometry.

Cell: 11.860 4.291 4.793 Å, 90.00 95.96 90.00°
Space group C2/m (No. 12)
One atom of each set of equivalent atoms:
Pa 0.146 0.000 0.376
Al 0.096 0.500 0.876
Fe 0.000 0.000 0.000
Fe 0.205 0.000 0.827

Computed properties:
DFT total energy = -109.7 eV/cell

Record 5
## UPaV4 (PBE)

Data for crystalline UPaV4 at its relaxed geometry.

Cell: 7.397 7.397 7.397 Å, 90.00 90.00 90.00°
Space group F-43m (No. 216)
One atom of each set of equivalent atoms:
U 0.000 0.000 0.000
Pa 0.250 0.250 0.750
V 0.125 0.125 0.375

Computed properties:
DFT total energy = -226.2 eV/cell

Record 6
## PrDyScCd (PBE)

Data for crystalline PrDyScCd at its relaxed geometry.

Cell: 3.581 3.581 8.755 Å, 90.00 90.00 90.00°
Space group P4mm (No. 99)
One atom of each set of equivalent atoms:
Pr 0.000 0.000 0.000
Dy 0.500 0.500 0.703
Sc 0.500 0.500 0.271
Cd 0.000 0.000 0.465

Computed properties:
Excess energy over the best structure of this formula in the dataset = 0 meV per atom
DFT total energy = -17.1 eV/cell

Record 7
## BaCd2Bi2 (PBE)

Data for crystalline BaCd2Bi2 at its relaxed geometry.

Cell: 11.584 8.656 8.215 Å, 90.00 124.64 90.00°
Space group C2/c (No. 15)
One atom of each set of equivalent atoms:
Ba 0.000 0.014 0.250
Cd 0.114 0.388 0.968
Bi 0.183 0.297 0.654

Computed properties:
DFT total energy = -53.2 eV/cell

Record 8
## KSr2In2 (PBE)

Data for crystalline KSr2In2 at its relaxed geometry.

Cell: 4.365 4.365 25.127 Å, 90.00 90.00 90.00°
Space group I4/mmm (No. 139)
One atom of each set of equivalent atoms:
K 0.000 0.000 0.000
Sr 0.000 0.000 0.361
In 0.000 0.500 0.250

Computed properties:
Excess energy over the best structure of this formula in the dataset = 223 meV per atom
DFT total energy = -20.2 eV/cell

Record 9
## Hf2TiTl (PBE)

Data for crystalline Hf2TiTl at its relaxed geometry.

Cell: 3.528 3.528 6.821 Å, 90.00 90.00 90.00°
Space group P4/mmm (No. 123)
One atom of each set of equivalent atoms:
Hf 0.000 0.000 0.230
Ti 0.500 0.500 0.000
Tl 0.500 0.500 0.500

Computed properties:
Excess energy over the best structure of this formula in the dataset = 24 meV per atom
DFT total energy = -29.9 eV/cell

Record 10
## TcWAu2 (PBE)

Data for crystalline TcWAu2 at its relaxed geometry.

Cell: 3.865 3.865 8.743 Å, 90.00 90.00 90.00°
Space group I4/mmm (No. 139)
One atom of each set of equivalent atoms:
Tc 0.000 0.000 0.000
W 0.000 0.000 0.500
Au 0.000 0.500 0.250

Computed properties:
Excess energy over the best structure of this formula in the dataset = 134 meV per atom
DFT total energy = -56.6 eV/cell